Below is a relaxed Cs2SbI5 crystal, with properties calculated at the PBE level.

DOS(E_F) = 0.0 states/eV per cell
E = -2.6296 eV per atom
crystal system = triclinic
magnetic moment = 0.00 μB/atom
energy above the most stable polymorph in this dataset = 0.028 eV per atom
space group = P1 (1)
ΔE_f (raw) = -7.46 eV per formula unit

Unit cell a=7.3791 b=8.9515 c=10.0162 alpha=96.31 beta=111.52 gamma=114.02
Fractional coordinates of all 8 atoms:
Cs1 0.0000 0.0000 0.0000
Cs2 0.0613 0.6292 0.4915
Sb1 0.5548 0.3143 0.7450
I1 0.2066 0.0759 0.4308
I2 0.4416 0.0108 0.8708
I3 0.6207 0.6184 0.6198
I4 0.7690 0.5540 0.0605
I5 0.9345 0.3087 0.7401